1.
# PBE Sm6GaIr2Br3, optimized geometry
data_Sm6GaIr2Br3
_chemical_formula_sum 'Sm6 Ga1 Ir2 Br3'
_space_group_name_H-M_alt 'P 1'
_space_group_IT_number 1
_cell_length_a 7.225
_cell_length_b 7.225
_cell_length_c 8.028
_cell_angle_alpha 98.62
_cell_angle_beta 98.62
_cell_angle_gamma 120.03
loop_
_space_group_symop_operation_xyz
'x,y,z'
loop_
_atom_site_label
_atom_site_type_symbol
_atom_site_fract_x
_atom_site_fract_y
_atom_site_fract_z
_atom_site_occupancy
Sm1 Sm 0.716 0.716 0.200 1
Sm2 Sm 0.417 0.066 0.200 1
Sm3 Sm 0.066 0.417 0.200 1
Sm4 Sm 0.934 0.583 0.800 1
Sm5 Sm 0.284 0.284 0.800 1
Sm6 Sm 0.583 0.934 0.800 1
Br1 Br 0.164 0.836 0.500 1
Br2 Br 0.500 0.500 0.500 1
Br3 Br 0.836 0.164 0.500 1
Ga1 Ga 0.000 0.000 0.000 1
Ir1 Ir 0.667 0.333 0.000 1
Ir2 Ir 0.333 0.667 0.000 1
# formation energy without anion corrections	-1014	meV per atom
# volume	346.1	Å³ per cell
# spin magnetization	0.0	Bohr magnetons per cell

***

2.
# PBE Ga2SnIrBr, optimized geometry
data_Ga2SnIrBr
_chemical_formula_sum 'Ga2 Sn1 Ir1 Br1'
_space_group_name_H-M_alt 'P 1'
_space_group_IT_number 1
_cell_length_a 4.888
_cell_length_b 4.888
_cell_length_c 5.133
_cell_angle_alpha 90.00
_cell_angle_beta 90.00
_cell_angle_gamma 90.00
loop_
_space_group_symop_operation_xyz
'x,y,z'
loop_
_atom_site_label
_atom_site_type_symbol
_atom_site_fract_x
_atom_site_fract_y
_atom_site_fract_z
_atom_site_occupancy
Sn1 Sn 0.000 0.000 0.500 1
Ga1 Ga 0.000 0.500 0.000 1
Ga2 Ga 0.500 0.000 0.000 1
Ir1 Ir 0.000 0.000 0.000 1
Br1 Br 0.500 0.500 0.500 1
# formation energy without anion corrections	-460	meV per atom
# volume	122.6	Å³ per cell
# spin magnetization	0.0	Bohr magnetons per cell